# 1
First-principles (PBE-GGA) data for KSbSe after structural relaxation, as listed in the Alexandria database.

Cell: 5.712 6.580 6.724 Å, 106.06 104.82 90.20°
Space group P1 (No. 1)
One atom of each set of equivalent atoms:
1 K 0.000 0.000 0.000 x1
2 K 0.446 0.429 0.802 x1
3 Sb 0.615 0.953 0.396 x1
4 Sb 0.933 0.624 0.423 x1
5 Se 0.018 0.515 0.056 x1
6 Se 0.376 0.879 0.650 x1

Properties
raw formation energy: -0.5802 eV/atom

=====

# 2
First-principles (PBE-GGA) data for AgPbO3 after structural relaxation, as listed in the Alexandria database.

Cell: 6.0321 6.0321 7.8447 Å, 90.00 90.00 120.00°
Space group R3m (No. 160, hexagonal axes)
One atom of each set of equivalent atoms:
1 Ag 0.0000 0.0000 0.0000 x3
2 Pb 0.0000 0.0000 0.4071 x3
3 O 0.0262 0.5131 0.8715 x9

Properties
raw formation energy: -0.1678 eV/atom

=====

# 3
First-principles (PBE-GGA) data for Ba2Ni2Ir after structural relaxation, as listed in the Alexandria database.

Cell: 4.2937 4.2937 28.3451 Å, 90.00 90.00 120.00°
Space group R-3m (No. 166, hexagonal axes)
One atom of each set of equivalent atoms:
1 Ba 0.0000 0.0000 0.0783 x6
2 Ni 0.0000 0.0000 0.1787 x6
3 Ir 0.0000 0.0000 0.5000 x3

Properties
formation energy from the elements: -0.139 eV/atom

=====

# 4
First-principles (PBE-GGA) data for La2Nd3Sm6Dy after structural relaxation, as listed in the Alexandria database.

Cell: 6.337 10.975 12.117 Å, 90.00 100.08 90.00°
Space group C2/m (No. 12)
One atom of each set of equivalent atoms:
1 La 0.000 0.167 0.000 x4
2 Nd 0.000 0.000 0.500 x2
3 Nd 0.000 0.334 0.500 x4
4 Sm 0.249 0.334 0.250 x8
5 Sm 0.249 0.500 0.749 x4
6 Dy 0.000 0.500 0.000 x2

Properties
formation energy from the elements: 0.016 eV/atom

=====

# 5
First-principles (PBE-GGA) data for NaNdPb after structural relaxation, as listed in the Alexandria database.

Cell: 5.3021 5.3021 3.6395 Å, 90.00 90.00 120.00°
Space group P3m1 (No. 156)
One atom of each set of equivalent atoms:
1 Na 0.0000 0.0000 0.0000 x1
2 Nd 0.3333 0.6667 0.5343 x1
3 Pb 0.6667 0.3333 0.0964 x1

Properties
formation energy from the elements: -0.244 eV/atom

=====

# 6
First-principles (PBE-GGA) data for Tb4InPbC after structural relaxation, as listed in the Alexandria database.

Cell: 6.915 15.903 6.911 Å, 90.00 90.00 90.00°
Space group Cmcm (No. 63)
One atom of each set of equivalent atoms:
1 Tb 0.000 0.089 0.250 x4
2 Tb 0.000 0.409 0.250 x4
3 Tb 0.250 0.250 0.000 x8
4 In 0.000 0.113 0.750 x4
5 Pb 0.000 0.389 0.750 x4
6 C 0.000 0.249 0.250 x4

Properties
formation energy from the elements: -0.439 eV/atom

=====

# 7
First-principles (PBE-GGA) data for LiTaPCl2 after structural relaxation, as listed in the Alexandria database.

Cell: 4.139 4.139 5.292 Å, 90.00 90.00 90.00°
Space group P4/mmm (No. 123)
One atom of each set of equivalent atoms:
1 Li 0.000 0.000 0.000 x1
2 Ta 0.500 0.500 0.500 x1
3 P 0.000 0.000 0.500 x1
4 Cl 0.000 0.500 0.000 x2

Properties
raw formation energy: 0.2862 eV/atom

=====

# 8
First-principles (PBE-GGA) data for LaTe2N2 after structural relaxation, as listed in the Alexandria database.

Cell: 4.575 4.575 4.826 Å, 90.00 90.00 90.00°
Space group P4/mmm (No. 123)
One atom of each set of equivalent atoms:
1 La 0.000 0.000 0.000 x1
2 Te 0.000 0.500 0.500 x2
3 N 0.500 0.500 0.000 x1
4 N 0.500 0.500 0.500 x1

Properties
raw formation energy: 0.6268 eV/atom

=====

# 9
First-principles (PBE-GGA) data for KPtCl2 after structural relaxation, as listed in the Alexandria database.

Cell: 3.826 6.187 8.585 Å, 90.00 90.00 90.00°
Space group Immm (No. 71)
One atom of each set of equivalent atoms:
1 K 0.000 0.000 0.000 x2
2 Pt 0.000 0.000 0.500 x2
3 Cl 0.000 0.500 0.184 x4

Properties
raw formation energy: -0.7140 eV/atom

=====

# 10
First-principles (PBE-GGA) data for La8TbSm6 after structural relaxation, as listed in the Alexandria database.

Cell: 9.5543 9.5543 6.7510 Å, 90.00 90.00 120.00°
Space group P-3 (No. 147)
One atom of each set of equivalent atoms:
1 La 0.0369 0.7469 0.3347 x6
2 La 0.3333 0.6667 0.3847 x2
3 Tb 0.0000 0.0000 0.0000 x1
4 Sm 0.0917 0.6598 0.8486 x6

Properties
formation energy from the elements: 0.153 eV/atom

=====

# 11
First-principles (PBE-GGA) data for LiInSb2C after structural relaxation, as listed in the Alexandria database.

Cell: 5.248 5.248 3.793 Å, 90.00 90.00 90.00°
Space group P4/mmm (No. 123)
One atom of each set of equivalent atoms:
1 Li 0.000 0.000 0.000 x1
2 In 0.500 0.500 0.500 x1
3 Sb 0.000 0.500 0.000 x2
4 C 0.000 0.000 0.500 x1

Properties
raw formation energy: 1.0587 eV/atom

=====

# 12
First-principles (PBE-GGA) data for BaCaTb after structural relaxation, as listed in the Alexandria database.

Cell: 12.362 3.731 12.962 Å, 90.00 118.02 90.00°
Space group C2/m (No. 12)
One atom of each set of equivalent atoms:
1 Ba 0.076 0.000 0.395 x4
2 Ca 0.234 0.500 0.227 x4
3 Tb 0.110 0.500 0.924 x4

Properties
formation energy from the elements: 0.247 eV/atom